{"formula": "CsTlSnAu2", "functional": "PBE-GGA", "state": "relaxed", "cell": [[5.505, 0.000, 0.000], [0.000, 5.505, 0.000], [0.000, 0.000, 5.859]], "species": ["Cs", "Tl", "Sn", "Au", "Au"], "fractional_positions": [[0.000, 0.000, 0.000], [0.500, 0.500, 0.000], [0.500, 0.500, 0.500], [0.000, 0.500, 0.500], [0.500, 0.000, 0.500]], "delta_e_f_ev_per_atom": -0.0579, "spacegroup": "P4/mmm (123)"}